The following is a DFT calculation (PBE) of a geometry-optimized Sc2InSb2 structure.

Unit cell a=7.028 b=7.028 c=7.028 alpha=139.23 beta=139.23 gamma=59.02
Fractional coordinates of all 5 atoms:
Sc (0.250, 0.750, 0.500)
Sc (0.750, 0.250, 0.500)
In (0.000, 0.000, 0.000)
Sb (0.373, 0.373, 0.000)
Sb (0.627, 0.627, 0.000)

Summary:
formation energy from raw total energies = -1.98 eV/f.u.
M_tot = 0.00 μB per formula unit
offset from the most stable computed form = 0.85 eV/f.u.
electronic total energy = -5.1252 eV per atom
Fermi-level density of states = 6.0 states/eV per cell
crystal system = tetragonal